# 1
# PBE-GGA Ag2SnBiC, relaxed
data_Ag2SnBiC
_space_group_name_H-M_alt 'P 4/m m m'
_space_group_IT_number 123
_space_group_name_Hall '-P 4 2'
_cell_length_a 5.449
_cell_length_b 5.449
_cell_length_c 4.089
_cell_angle_alpha 90.00
_cell_angle_beta 90.00
_cell_angle_gamma 90.00
loop_
_atom_site_label
_atom_site_type_symbol
_atom_site_fract_x
_atom_site_fract_y
_atom_site_fract_z
Ag1 Ag 0.000 0.500 0.000
Sn1 Sn 0.000 0.000 0.000
Bi1 Bi 0.500 0.500 0.500
C1 C 0.000 0.000 0.500
# - DFT formation energy (eV/atom) = 1.294

***

# 2
# PBE-GGA Mg2ScInO, relaxed
data_Mg2ScInO
_space_group_name_H-M_alt 'P 4/m m m'
_space_group_IT_number 123
_space_group_name_Hall '-P 4 2'
_cell_length_a 4.394
_cell_length_b 4.394
_cell_length_c 4.450
_cell_angle_alpha 90.00
_cell_angle_beta 90.00
_cell_angle_gamma 90.00
loop_
_atom_site_label
_atom_site_type_symbol
_atom_site_fract_x
_atom_site_fract_y
_atom_site_fract_z
Mg1 Mg 0.000 0.500 0.000
Sc1 Sc 0.000 0.000 0.500
In1 In 0.500 0.500 0.500
O1 O 0.000 0.000 0.000
# - formation energy from raw total energies (eV/atom) = -1.168

***

# 3
# PBE-GGA PaTl3Br7, relaxed
data_PaTl3Br7
_space_group_name_H-M_alt 'C 1 m 1'
_space_group_IT_number 8
_cell_length_a 11.521
_cell_length_b 10.189
_cell_length_c 8.910
_cell_angle_alpha 90.00
_cell_angle_beta 125.75
_cell_angle_gamma 90.00
loop_
_space_group_symop_operation_xyz
'x,y,z'
'x,-y,z'
'x+1/2,y+1/2,z'
'x+1/2,-y+1/2,z'
loop_
_atom_site_label
_atom_site_type_symbol
_atom_site_fract_x
_atom_site_fract_y
_atom_site_fract_z
Pa1 Pa 0.000 0.000 0.000
Tl1 Tl 0.443 0.000 0.868
Tl2 Tl 0.443 0.280 0.445
Br1 Br 0.067 0.260 0.175
Br2 Br 0.150 0.000 0.838
Br3 Br 0.304 0.000 0.356
Br4 Br 0.305 0.500 0.098
Br5 Br 0.312 0.323 0.702
# - formation energy from raw total energies (eV/atom) = -1.127

***

# 4
# PBE-GGA LiPr2Br6, relaxed
data_LiPr2Br6
_space_group_name_H-M_alt 'P 42/m n m'
_space_group_IT_number 136
_space_group_name_Hall '-P 4n 2n'
_cell_length_a 6.979
_cell_length_b 6.979
_cell_length_c 12.518
_cell_angle_alpha 90.00
_cell_angle_beta 90.00
_cell_angle_gamma 90.00
loop_
_atom_site_label
_atom_site_type_symbol
_atom_site_fract_x
_atom_site_fract_y
_atom_site_fract_z
Li1 Li 0.000 0.000 0.000
Pr1 Pr 0.000 0.000 0.346
Br1 Br 0.198 0.198 0.161
Br2 Br 0.225 0.225 0.500
# - formation energy from raw total energies (eV/atom) = -1.688

***

# 5
# PBE-GGA La3Si3Pt2, relaxed
data_La3Si3Pt2
_space_group_name_H-M_alt 'C m c m'
_space_group_IT_number 63
_space_group_name_Hall '-C 2c 2'
_cell_length_a 4.290
_cell_length_b 11.150
_cell_length_c 15.586
_cell_angle_alpha 90.00
_cell_angle_beta 90.00
_cell_angle_gamma 90.00
loop_
_atom_site_label
_atom_site_type_symbol
_atom_site_fract_x
_atom_site_fract_y
_atom_site_fract_z
La1 La 0.000 0.070 0.250
La2 La 0.000 0.356 0.094
Si1 Si 0.000 0.081 0.050
Si2 Si 0.000 0.221 0.750
Pt1 Pt 0.000 0.357 0.618
# - formation energy from raw total energies (eV/atom) = -1.047

***

# 6
# PBE-GGA Pr2HgP3Rh12, relaxed
data_Pr2HgP3Rh12
_space_group_name_H-M_alt 'R -3 m'
_space_group_IT_number 166
_space_group_name_Hall '-R 3 2"'
_cell_length_a 8.4781
_cell_length_b 8.4781
_cell_length_c 15.6549
_cell_angle_alpha 90.00
_cell_angle_beta 90.00
_cell_angle_gamma 120.00
loop_
_atom_site_label
_atom_site_type_symbol
_atom_site_fract_x
_atom_site_fract_y
_atom_site_fract_z
Pr1 Pr 0.0000 0.0000 0.1022
Hg1 Hg 0.0000 0.0000 0.5000
P1 P 0.0000 0.5000 0.0000
Rh1 Rh 0.0170 0.5085 0.8589
Rh2 Rh 0.0553 0.5276 0.3584
# - DFT formation energy (eV/atom) = -0.142

***

# 7
# PBE-GGA CeHoMg2Hg2, relaxed
data_CeHoMg2Hg2
_space_group_name_H-M_alt 'P -3 m 1'
_space_group_IT_number 164
_space_group_name_Hall '-P 3 2"'
_cell_length_a 5.0456
_cell_length_b 5.0456
_cell_length_c 6.6244
_cell_angle_alpha 90.00
_cell_angle_beta 90.00
_cell_angle_gamma 120.00
loop_
_atom_site_label
_atom_site_type_symbol
_atom_site_fract_x
_atom_site_fract_y
_atom_site_fract_z
Ce1 Ce 0.0000 0.0000 0.0000
Ho1 Ho 0.0000 0.0000 0.5000
Mg1 Mg 0.3333 0.6667 0.7445
Hg1 Hg 0.3333 0.6667 0.2498
# - DFT formation energy (eV/atom) = -0.293

***

# 8
# PBE-GGA SbIrCl, relaxed
data_SbIrCl
_space_group_name_H-M_alt 'P 3 m 1'
_space_group_IT_number 156
_cell_length_a 3.8689
_cell_length_b 3.8689
_cell_length_c 5.4515
_cell_angle_alpha 90.00
_cell_angle_beta 90.00
_cell_angle_gamma 120.00
loop_
_space_group_symop_operation_xyz
'x,y,z'
'-y,x-y,z'
'-x+y,-x,z'
'-y,-x,z'
'-x+y,y,z'
'x,x-y,z'
loop_
_atom_site_label
_atom_site_type_symbol
_atom_site_fract_x
_atom_site_fract_y
_atom_site_fract_z
Sb1 Sb 0.0000 0.0000 0.0000
Ir1 Ir 0.3333 0.6667 0.7703
Cl1 Cl 0.6667 0.3333 0.4919
# - formation energy from raw total energies (eV/atom) = -0.034

***

# 9
# PBE-GGA PaAlNiPt, relaxed
data_PaAlNiPt
_space_group_name_H-M_alt 'F -4 3 m'
_space_group_IT_number 216
_space_group_name_Hall 'F -4 2 3'
_cell_length_a 6.597
_cell_length_b 6.597
_cell_length_c 6.597
_cell_angle_alpha 90.00
_cell_angle_beta 90.00
_cell_angle_gamma 90.00
loop_
_atom_site_label
_atom_site_type_symbol
_atom_site_fract_x
_atom_site_fract_y
_atom_site_fract_z
Pa1 Pa 0.000 0.000 0.000
Al1 Al 0.000 0.000 0.500
Ni1 Ni 0.250 0.250 0.250
Pt1 Pt 0.250 0.250 0.750
# - DFT formation energy (eV/atom) = -0.625

***

# 10
# PBE-GGA SnHPd3, relaxed
data_SnHPd3
_space_group_name_H-M_alt 'R -3'
_space_group_IT_number 148
_space_group_name_Hall '-R 3'
_cell_length_a 5.1489
_cell_length_b 5.1489
_cell_length_c 19.7013
_cell_angle_alpha 90.00
_cell_angle_beta 90.00
_cell_angle_gamma 120.00
loop_
_atom_site_label
_atom_site_type_symbol
_atom_site_fract_x
_atom_site_fract_y
_atom_site_fract_z
Sn1 Sn 0.0000 0.0000 0.1663
H1 H 0.0000 0.0000 0.4167
Pd1 Pd 0.0014 0.6642 0.3919
# - E_tot (eV/atom) = -4.809

***

# 11
# PBE-GGA Tl6SI2Br2, relaxed
data_Tl6SI2Br2
_space_group_name_H-M_alt 'C 1 2/m 1'
_space_group_IT_number 12
_cell_length_a 8.289
_cell_length_b 14.130
_cell_length_c 8.492
_cell_angle_alpha 90.00
_cell_angle_beta 109.51
_cell_angle_gamma 90.00
loop_
_space_group_symop_operation_xyz
'x,y,z'
'-x,-y,-z'
'-x,y,-z'
'x,-y,z'
'x+1/2,y+1/2,z'
'-x+1/2,-y+1/2,-z'
'-x+1/2,y+1/2,-z'
'x+1/2,-y+1/2,z'
loop_
_atom_site_label
_atom_site_type_symbol
_atom_site_fract_x
_atom_site_fract_y
_atom_site_fract_z
Tl1 Tl 0.227 0.000 0.297
Tl2 Tl 0.228 0.152 0.725
S1 S 0.000 0.000 0.500
I1 I 0.000 0.163 0.000
Br1 Br 0.000 0.314 0.500
# - formation energy from raw total energies (eV/atom) = -0.615

***

# 12
# PBE-GGA Re5Se4, relaxed
data_Re5Se4
_space_group_name_H-M_alt 'I 4/m m m'
_space_group_IT_number 139
_space_group_name_Hall '-I 4 2'
_cell_length_a 10.329
_cell_length_b 10.329
_cell_length_c 2.952
_cell_angle_alpha 90.00
_cell_angle_beta 90.00
_cell_angle_gamma 90.00
loop_
_atom_site_label
_atom_site_type_symbol
_atom_site_fract_x
_atom_site_fract_y
_atom_site_fract_z
Re1 Re 0.000 0.000 0.000
Re2 Re 0.150 0.150 0.500
Se1 Se 0.000 0.298 0.000
# - formation energy from raw total energies (eV/atom) = 0.406

***

# 13
# PBE-GGA AgBiMo2Pt, relaxed
data_AgBiMo2Pt
_space_group_name_H-M_alt 'P 4/m m m'
_space_group_IT_number 123
_space_group_name_Hall '-P 4 2'
_cell_length_a 5.089
_cell_length_b 5.089
_cell_length_c 4.998
_cell_angle_alpha 90.00
_cell_angle_beta 90.00
_cell_angle_gamma 90.00
loop_
_atom_site_label
_atom_site_type_symbol
_atom_site_fract_x
_atom_site_fract_y
_atom_site_fract_z
Ag1 Ag 0.000 0.000 0.000
Bi1 Bi 0.500 0.500 0.500
Mo1 Mo 0.000 0.500 0.500
Pt1 Pt 0.500 0.500 0.000
# - DFT formation energy (eV/atom) = 2.129

***

# 14
# PBE-GGA HfAsWBr2, relaxed
data_HfAsWBr2
_space_group_name_H-M_alt 'P 4/m m m'
_space_group_IT_number 123
_space_group_name_Hall '-P 4 2'
_cell_length_a 5.035
_cell_length_b 5.035
_cell_length_c 5.010
_cell_angle_alpha 90.00
_cell_angle_beta 90.00
_cell_angle_gamma 90.00
loop_
_atom_site_label
_atom_site_type_symbol
_atom_site_fract_x
_atom_site_fract_y
_atom_site_fract_z
Hf1 Hf 0.000 0.000 0.000
As1 As 0.500 0.500 0.000
W1 W 0.500 0.500 0.500
Br1 Br 0.000 0.500 0.500
# - formation energy from raw total energies (eV/atom) = 0.979

***

no.,density of states at the Fermi level (states/eV/atom),calculated volume (Å³/cell)
1,0.911,121.4
2,0.206,85.9
3,0.102,848.8
4,0.000,609.8
5,0.489,745.6
6,0.711,974.5
7,1.339,146.1
8,0.772,70.7
9,1.310,287.1
10,0.491,452.3
11,0.000,937.5
12,0.974,314.9
13,2.305,129.5
14,1.255,127.0